(1)
This record from the Alexandria database describes an optimized crystal structure of CsTl2CdCl5. The functional is PBE. Values from VASP.

## Properties
The calculation puts the spin magnetization at 0.000 μB/cell. The energy comes out at -3.015 eV/atom. The crystal system is tetragonal. The uncorrected formation energy comes out at -1.27 eV per atom.

Structure (Quantum ESPRESSO input):
```
&SYSTEM
  ibrav = 0, nat = 18, ntyp = 4
/
ATOMIC_SPECIES
Cs 132.91 Cs.upf
Tl 204.38 Tl.upf
Cd 112.41 Cd.upf
Cl 35.45 Cl.upf
CELL_PARAMETERS angstrom
-6.869 -0.191 -5.460
-4.684 -4.309 6.044
3.300 8.982 2.588
ATOMIC_POSITIONS crystal
Cs 0.250 0.250 0.500
Cs 0.750 0.750 0.500
Tl 0.169 0.331 0.000
Tl 0.669 0.169 0.000
Tl 0.331 0.831 0.000
Tl 0.831 0.669 0.000
Cd 0.250 0.750 0.500
Cd 0.750 0.250 0.500
Cl 0.993 0.493 0.294
Cl 0.698 0.198 0.706
Cl 0.007 0.507 0.706
Cl 0.198 0.007 0.706
Cl 0.507 0.698 0.706
Cl 0.802 0.993 0.294
Cl 0.493 0.302 0.294
Cl 0.302 0.802 0.294
Cl 0.500 0.500 0.000
Cl 0.000 0.000 0.000
```

---

(2)
This record from the Alexandria database describes an optimized crystal structure of Cs4TlCd3Cl12. The functional is PBE. Values from VASP.

## Properties
The calculation puts the spin magnetization at 0.000 μB/cell. The energy comes out at -2.954 eV/atom. The crystal system is cubic. The uncorrected formation energy comes out at -1.42 eV per atom.

Structure (Quantum ESPRESSO input):
```
&SYSTEM
  ibrav = 0, nat = 20, ntyp = 4
/
ATOMIC_SPECIES
Cs 132.91 Cs.upf
Tl 204.38 Tl.upf
Cd 112.41 Cd.upf
Cl 35.45 Cl.upf
CELL_PARAMETERS angstrom
-7.934 4.814 -1.142
1.467 -1.473 9.116
7.142 4.874 -3.559
ATOMIC_POSITIONS crystal
Cs 0.500 0.500 0.500
Cs 0.000 0.000 0.500
Cs 0.500 0.000 0.000
Cs 0.000 0.500 0.000
Tl 0.000 0.000 0.000
Cd 0.500 0.000 0.500
Cd 0.500 0.500 0.000
Cd 0.000 0.500 0.500
Cl 0.250 0.500 0.750
Cl 0.741 0.000 0.741
Cl 0.259 0.000 0.259
Cl 0.750 0.500 0.250
Cl 0.741 0.741 0.000
Cl 0.259 0.259 0.000
Cl 0.750 0.250 0.500
Cl 0.250 0.750 0.500
Cl 0.500 0.250 0.750
Cl 0.000 0.741 0.741
Cl 0.500 0.750 0.250
Cl 0.000 0.259 0.259
```

---

(3)
This record from the Alexandria database describes an optimized crystal structure of CsTlCd2Cl8. The functional is PBE. Values from VASP.

## Properties
The calculation puts the spin magnetization at 0.080 μB/cell. The energy comes out at -2.718 eV/atom. The crystal system is triclinic. The uncorrected formation energy comes out at -1.07 eV per atom.

Structure (Quantum ESPRESSO input):
```
&SYSTEM
  ibrav = 0, nat = 12, ntyp = 4
/
ATOMIC_SPECIES
Cs 132.91 Cs.upf
Tl 204.38 Tl.upf
Cd 112.41 Cd.upf
Cl 35.45 Cl.upf
CELL_PARAMETERS angstrom
6.499 0.830 0.750
0.920 6.495 0.777
1.049 1.026 9.452
ATOMIC_POSITIONS crystal
Cs 0.000 0.000 0.500
Tl 0.000 0.000 0.000
Cd 0.436 0.435 0.733
Cd 0.564 0.565 0.267
Cl 0.183 0.712 0.213
Cl 0.751 0.754 0.015
Cl 0.713 0.186 0.212
Cl 0.817 0.288 0.787
Cl 0.249 0.246 0.985
Cl 0.287 0.814 0.788
Cl 0.662 0.670 0.470
Cl 0.338 0.330 0.530
```

---

(4)
This record from the Alexandria database describes an optimized crystal structure of CsTlCdCl6. The functional is PBE. Values from VASP.

## Properties
The calculation puts the spin magnetization at 0.000 μB/cell. The energy comes out at -2.836 eV/atom. The crystal system is trigonal. The uncorrected formation energy comes out at -1.15 eV per atom.

Structure (Quantum ESPRESSO input):
```
&SYSTEM
  ibrav = 0, nat = 9, ntyp = 4
/
ATOMIC_SPECIES
Cs 132.91 Cs.upf
Tl 204.38 Tl.upf
Cd 112.41 Cd.upf
Cl 35.45 Cl.upf
CELL_PARAMETERS angstrom
6.923 0.000 0.000
3.462 5.995 0.000
0.000 0.000 7.767
ATOMIC_POSITIONS crystal
Cs 0.000 0.000 0.000
Tl 0.333 0.333 0.500
Cd 0.667 0.667 0.500
Cl 0.003 0.377 0.303
Cl 0.377 0.003 0.697
Cl 0.620 0.377 0.697
Cl 0.003 0.620 0.697
Cl 0.377 0.620 0.303
Cl 0.620 0.003 0.303
```

---

(5)
This record from the Alexandria database describes an optimized crystal structure of CsTmCdCl6. The functional is PBE. Values from VASP.

## Properties
The calculation puts the spin magnetization at 0.000 μB/cell. The energy comes out at -3.790 eV/atom. The crystal system is trigonal. The uncorrected formation energy comes out at -1.87 eV per atom.

Structure (Quantum ESPRESSO input):
```
&SYSTEM
  ibrav = 0, nat = 9, ntyp = 4
/
ATOMIC_SPECIES
Cs 132.91 Cs.upf
Tm 168.93 Tm.upf
Cd 112.41 Cd.upf
Cl 35.45 Cl.upf
CELL_PARAMETERS angstrom
6.941 0.000 0.000
3.471 6.011 0.000
0.000 0.000 7.741
ATOMIC_POSITIONS crystal
Cs 0.000 0.000 0.000
Tm 0.333 0.333 0.500
Cd 0.667 0.667 0.500
Cl 0.006 0.378 0.303
Cl 0.378 0.006 0.697
Cl 0.617 0.378 0.697
Cl 0.006 0.617 0.697
Cl 0.378 0.617 0.303
Cl 0.617 0.006 0.303
```

---

(6)
This record from the Alexandria database describes an optimized crystal structure of Cs2UCdCl6. The functional is PBE. Values from VASP.

## Properties
The calculation puts the spin magnetization at 4.000 μB/cell. The energy comes out at -4.146 eV/atom. The crystal system is orthorhombic. The uncorrected formation energy comes out at -1.65 eV per atom.

Structure (Quantum ESPRESSO input):
```
&SYSTEM
  ibrav = 0, nat = 20, ntyp = 4
/
ATOMIC_SPECIES
Cs 132.91 Cs.upf
U 238.03 U.upf
Cd 112.41 Cd.upf
Cl 35.45 Cl.upf
CELL_PARAMETERS angstrom
-1.556 2.940 -6.893
-9.746 2.725 3.363
4.071 10.282 3.467
ATOMIC_POSITIONS crystal
Cs 0.500 0.832 0.227
Cs 0.000 0.168 0.727
Cs 0.500 0.832 0.773
Cs 0.000 0.168 0.273
U 0.500 0.166 0.500
U 0.000 0.834 0.000
Cd 0.000 0.645 0.500
Cd 0.500 0.355 0.000
Cl 0.500 0.161 0.272
Cl 0.500 0.161 0.728
Cl 0.000 0.839 0.228
Cl 0.000 0.839 0.772
Cl 0.263 0.986 0.500
Cl 0.737 0.986 0.500
Cl 0.247 0.331 0.500
Cl 0.753 0.331 0.500
Cl 0.747 0.669 0.000
Cl 0.253 0.669 0.000
Cl 0.237 0.014 0.000
Cl 0.763 0.014 0.000
```

---

(7)
This record from the Alexandria database describes an optimized crystal structure of CsUCdCl6. The functional is PBE. Values from VASP.

## Properties
The calculation puts the spin magnetization at 5.982 μB/cell. The energy comes out at -4.210 eV/atom. The crystal system is orthorhombic. The uncorrected formation energy comes out at -1.53 eV per atom.

Structure (Quantum ESPRESSO input):
```
&SYSTEM
  ibrav = 0, nat = 18, ntyp = 4
/
ATOMIC_SPECIES
Cs 132.91 Cs.upf
U 238.03 U.upf
Cd 112.41 Cd.upf
Cl 35.45 Cl.upf
CELL_PARAMETERS angstrom
10.196 0.000 0.000
0.000 9.603 0.000
-5.098 -4.801 7.214
ATOMIC_POSITIONS crystal
Cs 0.798 0.548 0.595
Cs 0.202 0.452 0.405
U 0.500 0.000 0.500
U 0.000 0.000 0.500
Cd 0.500 0.500 0.000
Cd 0.500 0.000 0.000
Cl 0.440 0.690 0.880
Cl 0.825 0.075 0.650
Cl 0.826 0.095 0.264
Cl 0.438 0.669 0.264
Cl 0.438 0.095 0.264
Cl 0.826 0.669 0.264
Cl 0.560 0.310 0.120
Cl 0.175 0.925 0.350
Cl 0.174 0.905 0.736
Cl 0.562 0.331 0.736
Cl 0.562 0.905 0.736
Cl 0.174 0.331 0.736
```

---

(8)
This record from the Alexandria database describes an optimized crystal structure of CsVCdCl6. The functional is PBE. Values from VASP.

## Properties
The calculation puts the spin magnetization at 2.000 μB/cell. The energy comes out at -3.812 eV/atom. The crystal system is trigonal. The uncorrected formation energy comes out at -1.37 eV per atom.

Structure (Quantum ESPRESSO input):
```
&SYSTEM
  ibrav = 0, nat = 9, ntyp = 4
/
ATOMIC_SPECIES
Cs 132.91 Cs.upf
V 50.94 V.upf
Cd 112.41 Cd.upf
Cl 35.45 Cl.upf
CELL_PARAMETERS angstrom
-3.361 -1.841 5.476
1.004 -6.048 2.661
5.619 2.876 4.416
ATOMIC_POSITIONS crystal
Cs 0.000 0.000 0.000
V 0.667 0.667 0.500
Cd 0.333 0.333 0.500
Cl 0.970 0.389 0.317
Cl 0.389 0.970 0.683
Cl 0.641 0.389 0.683
Cl 0.970 0.641 0.683
Cl 0.389 0.641 0.317
Cl 0.641 0.970 0.317
```

---

Among the records above, which one has the highest energy?
CsTlCd2Cl8

---

The lowest energy belongs to which entry?
CsUCdCl6

---

Look up the energy of the second one.
-2.954 eV/atom

---

What is the formula in the second record?
Cs4TlCd3Cl12